A plane-wave DFT calculation with PBE was carried out for crystalline PuTcGeRu at its relaxed geometry.

Results
DOS(E_F) in states/eV per atom: 1.09
Space-group type: F-43m
ΔH_f (0 K) in eV per atom: -0.23

Lattice parameters (Å, degrees): 4.541 4.541 4.541 60.00 60.00 60.00
Last column: magnetic moment on the atom in μB.
Fractional coordinates of all 4 atoms:
Ru: 0.750 0.750 0.750  -0.41
Ge: 0.000 0.000 0.000  0.00
Tc: 0.250 0.250 0.250  -0.62
Pu: 0.500 0.500 0.500  4.54